No. 1
## BaIr5 (PBE-GGA)

Data for a geometry-optimized BaIr5 structure.

Cell: 5.3803 5.3803 5.3803 Å, 60.00 60.00 60.00°
Fractional coordinates of all 6 atoms:
Ba1 0.0000 0.0000 0.0000
Ir1 0.6238 0.1285 0.6238
Ir2 0.6238 0.6238 0.6238
Ir3 0.6238 0.6238 0.1285
Ir4 0.2500 0.2500 0.2500
Ir5 0.1285 0.6238 0.6238

Its space-group type is No. 216. The crystal system is cubic. The final energy is -7.051 eV per atom. Its spin magnetization is 0.04 Bohr magnetons per cell.

No. 2
## Ba3Ir (PBE-GGA)

Data for a geometry-optimized Ba3Ir structure.

Cell: 5.7945 5.7945 5.7945 Å, 60.00 60.00 60.00°
Fractional coordinates of all 4 atoms:
Ba1 0.0000 0.0000 0.0000
Ba2 0.5000 0.5000 0.5000
Ba3 0.2500 0.2500 0.2500
Ir1 0.7500 0.7500 0.7500

Its space-group type is No. 225. The crystal system is cubic. The final energy is -3.323 eV per atom. Its spin magnetization is 0.00 Bohr magnetons per cell.